[1]
A relaxed HgSBr2 crystal. Source: Alexandria, functional PBE.

abc: 7.7096 7.7096 7.2918
angles: 90.00 90.00 90.00
Last column: nearest neighbours and their distance in Å.
Space group I-42d (No. 122)
One atom of each set of equivalent atoms:
Hg: 0.0000 0.0000 0.0000 [4 per cell]  4 Br 2.98
S: 0.0000 0.0000 0.5000 [4 per cell]  4 Br 2.78
Br: 0.2305 0.2500 0.6250 [8 per cell]  2 S 2.78, 2 Hg 2.98

Values from the calculation:
- M_tot: 0.00 μB per formula unit
- E_form (uncorrected): 39.90 kJ per mole of atoms

---

[2]
A relaxed HgSBr2 crystal. Source: Alexandria, functional PBE.

abc: 4.1206 4.1206 28.5047
angles: 90.00 90.00 120.00
Last column: nearest neighbours and their distance in Å.
Space group R-3m (No. 166, hexagonal axes)
One atom of each set of equivalent atoms:
Hg: 0.0000 0.0000 0.0000 [3 per cell]  2 Br 2.48
S: 0.0000 0.0000 0.5000 [3 per cell]  6 Br 3.29
Br: 0.0000 0.0000 0.0869 [6 per cell]  1 Hg 2.48

Values from the calculation:
- M_tot: 2.00 μB per formula unit
- E_form (uncorrected): 42.56 kJ per mole of atoms

---

[3]
A relaxed Hg2SBr3 crystal. Source: Alexandria, functional PBE.

abc: 15.8101 4.3229 11.9909
angles: 90.00 99.07 90.00
Last column: nearest neighbours and their distance in Å.
Space group C2/m (No. 12)
One atom of each set of equivalent atoms:
Hg: 0.1158 0.0000 0.4449 [4 per cell]  2 S 2.58, 1 Br 2.60
Hg: 0.1883 0.0000 0.8590 [4 per cell]  2 Br 2.49-2.50
S: 0.0656 0.5000 0.5318 [4 per cell]  1 S 2.09
Br: 0.0332 0.0000 0.7791 [4 per cell]  1 Hg 2.49
Br: 0.1569 0.5000 0.0538 [4 per cell]  1 Hg 2.50
Br: 0.2447 0.0000 0.3338 [4 per cell]  1 Hg 2.60

Values from the calculation:
- M_tot: 0.00 μB per formula unit
- E_form (uncorrected): -28.10 kJ per mole of atoms

---

[4]
A relaxed Hg3S3Br crystal. Source: Alexandria, functional PBE.

abc: 7.2262 7.2262 27.2343
angles: 90.00 90.00 120.00
Last column: nearest neighbours and their distance in Å.
Space group R-3 (No. 148, hexagonal axes)
One atom of each set of equivalent atoms:
Hg: 0.0019 0.6443 0.4150 [18 per cell]  3 S 2.48-2.53
S: 0.0017 0.6868 0.6101 [18 per cell]  3 Hg 2.48-2.53
Br: 0.0000 0.0000 0.1672 [6 per cell]  6 Hg 3.26-3.30

Values from the calculation:
- M_tot: 0.00 μB per formula unit
- E_form (uncorrected): 5.45 kJ per mole of atoms

---

[5]
A relaxed HgS2Br crystal. Source: Alexandria, functional PBE.

abc: 4.0475 4.0475 22.7391
angles: 90.00 90.00 120.00
Last column: nearest neighbours and their distance in Å.
Space group R-3m (No. 166, hexagonal axes)
One atom of each set of equivalent atoms:
Hg: 0.0000 0.0000 0.0000 [3 per cell]  6 S 2.70
S: 0.0000 0.0000 0.3931 [6 per cell]  1 Br 2.43, 3 Hg 2.70
Br: 0.0000 0.0000 0.5000 [3 per cell]  2 S 2.43

Values from the calculation:
- M_tot: 0.00 μB per formula unit
- E_form (uncorrected): 20.14 kJ per mole of atoms

---

[6]
A relaxed Hg2SBr crystal. Source: Alexandria, functional PBE.

abc: 7.2191 7.2191 7.2191
angles: 90.00 90.00 90.00
Last column: nearest neighbours and their distance in Å.
Space group Fm-3m (No. 225)
One atom of each set of equivalent atoms:
Hg: 0.2500 0.2500 0.2500 [8 per cell]  4 S 3.13, 4 Br 3.13
S: 0.0000 0.0000 0.0000 [4 per cell]  8 Hg 3.13
Br: 0.0000 0.0000 0.5000 [4 per cell]  8 Hg 3.13

Values from the calculation:
- M_tot: 0.00 μB per formula unit
- E_form (uncorrected): 25.75 kJ per mole of atoms

---

[7]
A relaxed Hg6Se2S2Br crystal. Source: Alexandria, functional PBE.

abc: 14.4255 7.1640 8.4923
angles: 90.00 122.38 90.00
Last column: nearest neighbours and their distance in Å.
Space group C2/m (No. 12)
One atom of each set of equivalent atoms:
Hg: 0.0784 0.2464 0.3852 [8 per cell]  1 S 2.38, 1 Se 2.51
Hg: 0.2088 0.5000 0.9923 [4 per cell]  1 Br 3.05, 1 S 3.06, 1 Se 3.24
Se: 0.1996 0.5000 0.6024 [4 per cell]  2 Hg 2.51
S: 0.0407 0.0000 0.8017 [4 per cell]  2 Hg 2.38
Br: 0.0000 0.5000 0.0000 [2 per cell]  6 Hg 3.05-3.36

Values from the calculation:
- M_tot: 0.00 μB per formula unit
- E_form (uncorrected): -7.03 kJ per mole of atoms

---

[8]
A relaxed Hg4Se2SBr crystal. Source: Alexandria, functional PBE.

abc: 6.4057 6.4057 12.5289
angles: 90.00 90.00 90.00
Last column: nearest neighbours and their distance in Å.
Space group I-42m (No. 121)
One atom of each set of equivalent atoms:
Hg: 0.2199 0.2199 0.1338 [8 per cell]  1 S 2.60, 2 Se 2.71
Se: 0.0000 0.5000 0.2500 [4 per cell]  4 Hg 2.71
S: 0.0000 0.0000 0.0000 [2 per cell]  4 Hg 2.60
Br: 0.0000 0.0000 0.5000 [2 per cell]  4 Hg 3.04

Values from the calculation:
- M_tot: 0.00 μB per formula unit
- E_form (uncorrected): -16.50 kJ per mole of atoms

---

[9]
A relaxed SnHg2SBr crystal. Source: Alexandria, functional PBE.

abc: 5.2305 5.2305 5.7277
angles: 90.00 90.00 90.00
Last column: nearest neighbours and their distance in Å.
Space group P4/mmm (No. 123)
One atom of each set of equivalent atoms:
Sn: 0.0000 0.0000 0.0000 [1 per cell]  2 S 2.86
Hg: 0.0000 0.5000 0.5000 [2 per cell]  2 S 2.62
S: 0.0000 0.0000 0.5000 [1 per cell]  4 Hg 2.62, 2 Sn 2.86
Br: 0.5000 0.5000 0.0000 [1 per cell]  4 Sn 3.70, 8 Hg 3.88

Values from the calculation:
- M_tot: 0.00 μB per formula unit
- E_form (uncorrected): 6.30 kJ per mole of atoms

---

[10]
A relaxed Hg4Te2SBr crystal. Source: Alexandria, functional PBE.

abc: 9.4323 9.4339 12.7514
angles: 90.00 90.00 90.00
Last column: nearest neighbours and their distance in Å.
Space group Fmm2 (No. 42)
One atom of each set of equivalent atoms:
Hg: 0.0000 0.2195 0.0000 [8 per cell]  1 S 2.62, 2 Te 2.86
Hg: 0.2203 0.0000 0.7495 [8 per cell]  1 S 2.62, 2 Te 2.86
Te: 0.2500 0.2500 0.1247 [8 per cell]  4 Hg 2.86
S: 0.0000 0.0000 0.8745 [4 per cell]  4 Hg 2.62
Br: 0.0000 0.0000 0.3749 [4 per cell]  4 Hg 3.09

Values from the calculation:
- M_tot: 0.00 μB per formula unit
- E_form (uncorrected): -13.54 kJ per mole of atoms

---

[11]
A relaxed Hg6Te2S2Br crystal. Source: Alexandria, functional PBE.

abc: 14.4323 7.3621 8.1246
angles: 90.00 120.65 90.00
Last column: nearest neighbours and their distance in Å.
Space group C2/m (No. 12)
One atom of each set of equivalent atoms:
Hg: 0.0821 0.2399 0.2616 [8 per cell]  1 S 2.40, 1 Te 2.68
Hg: 0.2291 0.5000 0.8558 [4 per cell]  1 Br 3.09, 1 S 3.18, 1 Te 3.46
Te: 0.2138 0.5000 0.2670 [4 per cell]  2 Hg 2.68
S: 0.0384 0.0000 0.7707 [4 per cell]  2 Hg 2.40
Br: 0.0000 0.5000 0.5000 [2 per cell]  6 Hg 3.09-3.34

Values from the calculation:
- M_tot: 0.00 μB per formula unit
- E_form (uncorrected): -4.26 kJ per mole of atoms

---

[12]
A relaxed TlHg2S2Br crystal. Source: Alexandria, functional PBE.

abc: 7.9049 4.9598 9.5565
angles: 90.00 96.45 90.00
Last column: nearest neighbours and their distance in Å.
Space group P2_1/m (No. 11)
One atom of each set of equivalent atoms:
Tl: 0.2467 0.2500 0.1355 [2 per cell]  4 S 3.19-3.22, 1 Hg 3.51, 2 Br 3.52
Hg: 0.1963 0.7500 0.6387 [2 per cell]  2 S 2.85, 1 Br 2.98
Hg: 0.3772 0.2500 0.4984 [2 per cell]  4 Hg 3.15-3.23, 1 Tl 3.51, 2 S 3.52
S: 0.3942 0.0491 0.8529 [4 per cell]  1 S 1.99
Br: 0.0673 0.7500 0.3338 [2 per cell]  3 Hg 2.98-3.27

Values from the calculation:
- M_tot: 0.00 μB per formula unit
- E_form (uncorrected): -9.18 kJ per mole of atoms

---

[13]
A relaxed TlHg6S4Br5 crystal. Source: Alexandria, functional PBE.

abc: 14.6195 14.6195 9.0266
angles: 90.00 90.00 90.00
Last column: nearest neighbours and their distance in Å.
Space group I4/m (No. 87)
One atom of each set of equivalent atoms:
Tl: 0.0000 0.5000 0.2500 [4 per cell]  8 Br 3.57-3.64
Hg: 0.0395 0.1733 0.2426 [16 per cell]  2 S 2.44-2.45
Hg: 0.1344 0.7586 0.5000 [8 per cell]  2 S 2.47
S: 0.1260 0.8006 0.2352 [16 per cell]  3 Hg 2.44-2.47
Br: 0.0000 0.0000 0.0000 [2 per cell]  8 Hg 3.40
Br: 0.0000 0.0000 0.5000 [2 per cell]  8 Hg 3.49
Br: 0.0644 0.3158 0.5000 [8 per cell]  3 Hg 3.10-3.14
Br: 0.0694 0.3242 0.0000 [8 per cell]  3 Hg 2.83-3.14

Values from the calculation:
- M_tot: 0.00 μB per formula unit
- E_form (uncorrected): -35.78 kJ per mole of atoms

---

[14]
A relaxed ZrHg3S2Br6 crystal. Source: Alexandria, functional PBE.

abc: 7.2679 7.6607 13.6474
angles: 90.00 90.36 90.00
Last column: nearest neighbours and their distance in Å.
Space group P2_1/c (No. 14)
One atom of each set of equivalent atoms:
Zr: 0.0000 0.0000 0.0000 [2 per cell]  6 Br 2.63-2.67
Hg: 0.4950 0.2195 0.7546 [4 per cell]  2 S 2.44
Hg: 0.5000 0.0000 0.5000 [2 per cell]  2 S 2.49
S: 0.3634 0.5282 0.1660 [4 per cell]  3 Hg 2.44-2.49
Br: 0.1378 0.2013 0.4393 [4 per cell]  1 Zr 2.63
Br: 0.1554 0.0356 0.1746 [4 per cell]  1 Zr 2.65
Br: 0.3042 0.6586 0.4374 [4 per cell]  1 Zr 2.67

Values from the calculation:
- M_tot: 0.00 μB per formula unit
- E_form (uncorrected): -71.60 kJ per mole of atoms

---

[15]
A relaxed Hg2SbBr crystal. Source: Alexandria, functional PBE.

abc: 15.2518 3.3590 5.0816
angles: 90.00 109.33 90.00
Last column: nearest neighbours and their distance in Å.
Space group C2/m (No. 12)
One atom of each set of equivalent atoms:
Hg: 0.2108 0.0000 0.2113 [4 per cell]  1 Sb 3.03, 6 Hg 3.25-3.36
Sb: 0.0000 0.0000 0.0000 [2 per cell]  2 Hg 3.03, 4 Br 3.05, 2 Sb 3.36
Br: 0.0000 0.5000 0.5000 [2 per cell]  4 Sb 3.05, 2 Br 3.36

Values from the calculation:
- M_tot: 0.00 μB per formula unit
- E_form (uncorrected): 1.89 kJ per mole of atoms

---

[16]
A relaxed HgSbBr2 crystal. Source: Alexandria, functional PBE.

abc: 5.5398 4.8517 5.7397
angles: 90.00 114.88 90.00
Last column: nearest neighbours and their distance in Å.
Space group Pm (No. 6)
One atom of each set of equivalent atoms:
Hg: 0.0000 0.0000 0.0000 [1 per cell]  2 Sb 2.91, 1 Br 3.15
Sb: 0.6842 0.5000 0.8184 [1 per cell]  1 Br 2.60
Br: 0.2978 0.0000 0.6032 [1 per cell]  2 Sb 3.13, 2 Hg 3.15-3.33
Br: 0.5586 0.5000 0.2071 [1 per cell]  1 Sb 2.60

Values from the calculation:
- M_tot: 0.00 μB per formula unit
- E_form (uncorrected): -18.44 kJ per mole of atoms

---

[17]
A relaxed HgSbBr4 crystal. Source: Alexandria, functional PBE.

abc: 8.9208 8.9208 8.9208
angles: 90.00 90.00 90.00
Last column: nearest neighbours and their distance in Å.
Space group F-43m (No. 216)
One atom of each set of equivalent atoms:
Hg: 0.0000 0.0000 0.0000 [4 per cell]  12 Br 3.70, 4 Sb 3.86
Sb: 0.2500 0.2500 0.7500 [4 per cell]  12 Br 3.70, 4 Hg 3.86
Br: 0.1246 0.1246 0.3754 [16 per cell]  6 Br 3.15-3.16

Values from the calculation:
- M_tot: 0.60 μB per formula unit
- E_form (uncorrected): 54.74 kJ per mole of atoms

---

[18]
A relaxed HgSbBr2 crystal. Source: Alexandria, functional PBE.

abc: 5.1769 5.1769 4.1014
angles: 90.00 90.00 90.00
Last column: nearest neighbours and their distance in Å.
Space group P4/mmm (No. 123)
One atom of each set of equivalent atoms:
Hg: 0.0000 0.0000 0.0000 [1 per cell]  8 Br 3.30, 4 Sb 3.66
Sb: 0.5000 0.5000 0.0000 [1 per cell]  8 Br 3.30, 4 Hg 3.66
Br: 0.0000 0.5000 0.5000 [2 per cell]  4 Hg 3.30, 4 Sb 3.30, 4 Br 3.66

Values from the calculation:
- M_tot: 0.00 μB per formula unit
- E_form (uncorrected): 11.94 kJ per mole of atoms

---

[19]
A relaxed HgSbBr4 crystal. Source: Alexandria, functional PBE.

abc: 9.5662 18.1720 7.3682
angles: 90.00 130.42 90.00
Last column: nearest neighbours and their distance in Å.
Space group C2/c (No. 15)
One atom of each set of equivalent atoms:
Hg: 0.0000 0.1750 0.2500 [4 per cell]  2 Br 2.78
Sb: 0.0000 0.3290 0.7500 [4 per cell]  4 Br 2.57-2.86
Br: 0.1947 0.4237 0.7412 [8 per cell]  1 Sb 2.57
Br: 0.2366 0.1877 0.7430 [8 per cell]  1 Hg 2.78, 1 Sb 2.86

Values from the calculation:
- M_tot: 0.00 μB per formula unit
- E_form (uncorrected): -41.53 kJ per mole of atoms

---

[20]
A relaxed Hg5Sb2Br5 crystal. Source: Alexandria, functional PBE.

abc: 6.9441 7.5343 9.9149
angles: 69.31 84.94 72.47
Last column: nearest neighbours and their distance in Å.
Space group P-1 (No. 2)
One atom of each set of equivalent atoms:
Hg: 0.0000 0.0000 0.0000 [1 per cell]  2 Sb 2.90
Hg: 0.0017 0.4096 0.3983 [2 per cell]  1 Hg 2.80, 1 Sb 2.93
Hg: 0.3287 0.9023 0.3500 [2 per cell]  1 Br 2.79, 1 Sb 2.80
Sb: 0.0197 0.2207 0.1832 [2 per cell]  2 Br 2.72-2.92, 3 Hg 2.80-2.93
Br: 0.2662 0.9848 0.6494 [2 per cell]  1 Sb 2.92, 2 Hg 3.18-3.21
Br: 0.2967 0.3825 0.0150 [2 per cell]  1 Sb 2.72
Br: 0.5000 0.5000 0.5000 [1 per cell]  2 Hg 2.79

Values from the calculation:
- M_tot: 0.00 μB per formula unit
- E_form (uncorrected): -28.22 kJ per mole of atoms